Record 1
Material: Tb8Er4Th
Method: DFT, PBE
State: relaxed

Calculated values
**SG**: R-3m (166)
**ΔH_f (0 K)**: 0.250 eV per atom

Cell lengths 7.286, 7.286, 10.092 Å; angles 90.00, 111.16, 120.00 degrees
Element x y z (fractional)
1 Tb 0.567 0.784 0.351
2 Tb 0.433 0.216 0.649
3 Tb 0.494 0.247 0.296
4 Tb 0.951 0.198 0.704
5 Tb 0.506 0.753 0.704
6 Tb 0.951 0.753 0.704
7 Tb 0.049 0.247 0.296
8 Tb 0.049 0.802 0.296
9 Er 0.000 0.000 0.000
10 Er 0.000 0.500 0.000
11 Er 0.500 0.500 0.000
12 Er 0.500 0.000 0.000
13 Th 0.000 0.500 0.500

---

Record 2
Material: Tb5Er2Th4
Method: DFT, PBE
State: relaxed

Calculated values
**SG**: C2/m (12)
**ΔH_f (0 K)**: 0.200 eV per atom
**Relative energy among the computed polymorphs**: 0.176 eV per atom

Cell lengths 6.653, 8.988, 10.261 Å; angles 39.24, 71.09, 68.28 degrees
Element x y z (fractional)
1 Tb 0.175 0.266 0.907
2 Tb 0.825 0.734 0.093
3 Tb 0.000 0.500 0.500
4 Tb 0.652 0.266 0.907
5 Tb 0.348 0.734 0.093
6 Er 0.196 0.927 0.680
7 Er 0.804 0.073 0.320
8 Th 0.404 0.780 0.411
9 Th 0.596 0.220 0.589
10 Th 0.752 0.658 0.837
11 Th 0.248 0.342 0.163

---

Record 3
Material: TbEr2Th
Method: DFT, PBE
State: relaxed

Calculated values
**SG**: P4/mmm (123)
**ΔH_f (0 K)**: 0.023 eV per atom
**Relative energy among the computed polymorphs**: 0.031 eV per atom

Cell lengths 3.541, 3.541, 10.029 Å; angles 90.00, 90.00, 90.00 degrees
Element x y z (fractional)
1 Tb 0.500 0.500 0.500
2 Th 0.500 0.500 0.000
3 Er 0.000 0.000 0.754
4 Er 0.000 0.000 0.246

---

Record 4
Material: TbEr7Th2
Method: DFT, PBE
State: relaxed

Calculated values
**SG**: Cmmm (65)
**ΔH_f (0 K)**: 0.780 eV per atom
**Relative energy among the computed polymorphs**: 0.756 eV per atom

Cell lengths 5.447, 9.374, 9.374 Å; angles 125.11, 90.00, 90.00 degrees
Element x y z (fractional)
1 Tb 0.000 0.000 0.000
2 Er 0.000 0.795 0.205
3 Er 0.000 0.205 0.795
4 Er 0.500 0.066 0.285
5 Er 0.500 0.934 0.715
6 Er 0.500 0.285 0.066
7 Er 0.500 0.715 0.934
8 Er 0.500 0.500 0.500
9 Th 0.500 0.705 0.295
10 Th 0.500 0.295 0.705

---

Record 5
Material: Tb3Er8Th3
Method: DFT, PBE
State: relaxed

Calculated values
**SG**: Immm (71)
**ΔH_f (0 K)**: 0.152 eV per atom

Cell lengths 5.601, 9.573, 9.573 Å; angles 102.06, 72.99, 72.99 degrees
Element x y z (fractional)
1 Tb 0.500 0.500 0.500
2 Tb 0.806 0.194 0.194
3 Tb 0.194 0.806 0.806
4 Er 0.658 0.118 0.565
5 Er 0.342 0.882 0.435
6 Er 0.658 0.565 0.118
7 Er 0.342 0.435 0.882
8 Er 0.841 0.762 0.555
9 Er 0.159 0.238 0.445
10 Er 0.841 0.555 0.762
11 Er 0.159 0.445 0.238
12 Th 0.500 0.000 0.000
13 Th 0.000 0.815 0.185
14 Th 0.000 0.185 0.815

---

Record 6
Material: Tb15Er4Th
Method: DFT, PBE
State: relaxed

Calculated values
**SG**: P4/mmm (123)
**ΔH_f (0 K)**: 0.023 eV per atom

Cell lengths 5.029, 5.029, 25.080 Å; angles 90.00, 90.00, 90.00 degrees
Element x y z (fractional)
1 Tb 0.500 0.500 0.000
2 Tb 0.500 0.500 0.202
3 Tb 0.500 0.500 0.400
4 Tb 0.500 0.500 0.600
5 Tb 0.500 0.500 0.798
6 Tb 0.500 0.000 0.099
7 Tb 0.500 0.000 0.300
8 Tb 0.500 0.000 0.500
9 Tb 0.500 0.000 0.700
10 Tb 0.500 0.000 0.901
11 Tb 0.000 0.500 0.099
12 Tb 0.000 0.500 0.300
13 Tb 0.000 0.500 0.500
14 Tb 0.000 0.500 0.700
15 Tb 0.000 0.500 0.901
16 Er 0.000 0.000 0.200
17 Er 0.000 0.000 0.400
18 Er 0.000 0.000 0.600
19 Er 0.000 0.000 0.800
20 Th 0.000 0.000 0.000

---

Record 7
Material: Tb2Er7Th2
Method: DFT, PBE
State: relaxed

Calculated values
**SG**: C2/m (12)
**ΔH_f (0 K)**: 0.181 eV per atom
**Relative energy among the computed polymorphs**: 0.000 eV per atom

Cell lengths 6.079, 7.929, 7.929 Å; angles 91.85, 73.85, 73.85 degrees
Element x y z (fractional)
1 Tb 0.500 0.214 0.786
2 Tb 0.500 0.786 0.214
3 Er 0.172 0.066 0.589
4 Er 0.828 0.411 0.934
5 Er 0.828 0.934 0.411
6 Er 0.172 0.589 0.066
7 Er 0.000 0.000 0.000
8 Er 0.579 0.761 0.761
9 Er 0.421 0.239 0.239
10 Th 0.809 0.412 0.412
11 Th 0.191 0.588 0.588

---

Record 8
Material: TbEr4Th
Method: DFT, PBE
State: relaxed

Calculated values
**SG**: C2/m (12)
**ΔH_f (0 K)**: 0.023 eV per atom
**Relative energy among the computed polymorphs**: 0.000 eV per atom

Cell lengths 3.532, 9.343, 10.604 Å; angles 145.10, 70.55, 100.91 degrees
Element x y z (fractional)
1 Tb 0.500 0.000 0.500
2 Er 0.830 0.667 0.504
3 Er 0.170 0.333 0.496
4 Er 0.337 0.667 0.997
5 Er 0.663 0.333 0.003
6 Th 0.000 0.000 0.000

---

Record 9
Material: Tb4Er8Th
Method: DFT, PBE
State: relaxed

Calculated values
**SG**: R-3m (166)
**ΔH_f (0 K)**: 0.518 eV per atom

Cell lengths 7.710, 7.710, 7.710 Å; angles 90.09, 90.09, 90.09 degrees
Site moments in Bohr magnetons follow the coordinates.
Element x y z (fractional)
1 Tb 0.500 0.000 0.500  0.13
2 Tb 0.000 0.500 0.500  0.13
3 Tb 0.500 0.500 0.000  0.13
4 Tb 0.000 0.000 0.000  -0.06
5 Er 0.240 0.758 0.240  0.07
6 Er 0.760 0.760 0.242  0.07
7 Er 0.760 0.242 0.760  0.07
8 Er 0.242 0.760 0.760  0.07
9 Er 0.759 0.759 0.759  0.07
10 Er 0.241 0.241 0.241  0.07
11 Er 0.758 0.240 0.240  0.07
12 Er 0.240 0.240 0.758  0.07
13 Th 0.500 0.500 0.500  0.11

---

Record 10
Material: Tb3Er7Th2
Method: DFT, PBE
State: relaxed

Calculated values
**SG**: Cmmm (65)
**ΔH_f (0 K)**: 0.296 eV per atom
**Relative energy among the computed polymorphs**: 0.007 eV per atom

Cell lengths 4.620, 5.362, 16.280 Å; angles 99.48, 90.00, 90.00 degrees
Element x y z (fractional)
1 Tb 0.500 0.500 0.000
2 Tb 0.500 0.653 0.306
3 Tb 0.500 0.347 0.694
4 Er 0.000 0.420 0.841
5 Er 0.000 0.729 0.458
6 Er 0.000 0.000 0.000
7 Er 0.000 0.580 0.159
8 Er 0.500 0.079 0.158
9 Er 0.500 0.921 0.842
10 Er 0.000 0.271 0.542
11 Th 0.000 0.841 0.683
12 Th 0.000 0.159 0.317

---

Record 11
Material: TbEr6Th
Method: DFT, PBE
State: relaxed

Calculated values
**SG**: P-1 (2)
**ΔH_f (0 K)**: 0.229 eV per atom
**Relative energy among the computed polymorphs**: 0.199 eV per atom

Cell lengths 6.685, 6.510, 6.724 Å; angles 98.79, 60.96, 91.12 degrees
Element x y z (fractional)
1 Tb 0.000 0.000 0.000
2 Er 0.081 0.736 0.495
3 Er 0.571 0.765 0.520
4 Er 0.429 0.235 0.480
5 Er 0.919 0.264 0.505
6 Er 0.541 0.751 0.012
7 Er 0.459 0.249 0.988
8 Th 0.000 0.500 0.000

---

Record 12
Material: Tb3Er3Th
Method: DFT, PBE
State: relaxed

Calculated values
**SG**: C2/m (12)
**ΔH_f (0 K)**: 0.156 eV per atom
**Relative energy among the computed polymorphs**: 0.135 eV per atom

Cell lengths 6.553, 6.553, 10.544 Å; angles 90.74, 90.74, 95.28 degrees
Element x y z (fractional)
1 Tb 0.029 0.029 0.253
2 Tb 0.127 0.484 0.753
3 Tb 0.484 0.127 0.753
4 Tb 0.873 0.516 0.247
5 Tb 0.516 0.873 0.247
6 Tb 0.971 0.971 0.747
7 Er 0.323 0.323 0.438
8 Er 0.809 0.191 0.500
9 Er 0.191 0.809 0.500
10 Er 0.817 0.183 0.000
11 Er 0.183 0.817 0.000
12 Er 0.677 0.677 0.562
13 Th 0.334 0.334 0.080
14 Th 0.666 0.666 0.920

---

Record 13
Material: TbEr2Th4
Method: DFT, PBE
State: relaxed

Calculated values
**SG**: P4_2/mnm (136)
**ΔH_f (0 K)**: 0.323 eV per atom

Cell lengths 5.509, 9.298, 9.298 Å; angles 90.00, 90.00, 90.00 degrees
Element x y z (fractional)
1 Tb 0.500 0.000 0.000
2 Tb 0.000 0.500 0.500
3 Er 0.000 0.182 0.818
4 Er 0.000 0.818 0.182
5 Er 0.500 0.682 0.682
6 Er 0.500 0.318 0.318
7 Th 0.000 0.124 0.376
8 Th 0.000 0.876 0.624
9 Th 0.500 0.124 0.624
10 Th 0.500 0.876 0.376
11 Th 0.500 0.376 0.876
12 Th 0.500 0.624 0.124
13 Th 0.000 0.376 0.124
14 Th 0.000 0.624 0.876

---

Record 14
Material: Tb3Er3Th4
Method: DFT, PBE
State: relaxed

Calculated values
**SG**: Amm2 (38)
**ΔH_f (0 K)**: 0.229 eV per atom

Cell lengths 3.857, 9.243, 9.243 Å; angles 89.84, 90.00, 90.00 degrees
Element x y z (fractional)
1 Tb 0.000 0.501 0.001
2 Tb 0.000 0.999 0.499
3 Tb 0.500 0.164 0.836
4 Er 0.500 0.837 0.163
5 Er 0.500 0.336 0.337
6 Er 0.500 0.663 0.664
7 Th 0.000 0.632 0.368
8 Th 0.000 0.367 0.633
9 Th 0.000 0.868 0.867
10 Th 0.000 0.133 0.132

---

Record 15
Material: Tb6Er8Th
Method: DFT, PBE
State: relaxed

Calculated values
**SG**: R-3 (148)
**ΔH_f (0 K)**: 0.125 eV per atom

Cell lengths 8.580, 8.580, 8.580 Å; angles 63.14, 63.14, 63.14 degrees
Element x y z (fractional)
1 Tb 0.894 0.462 0.771
2 Tb 0.229 0.106 0.538
3 Tb 0.538 0.229 0.106
4 Tb 0.462 0.771 0.894
5 Tb 0.771 0.894 0.462
6 Tb 0.106 0.538 0.229
7 Er 0.112 0.719 0.750
8 Er 0.250 0.888 0.281
9 Er 0.281 0.250 0.888
10 Er 0.577 0.577 0.577
11 Er 0.423 0.423 0.423
12 Er 0.719 0.750 0.112
13 Er 0.750 0.112 0.719
14 Er 0.888 0.281 0.250
15 Th 0.000 0.000 0.000

---

Record 16
Material: Tb10Er4Th
Method: DFT, PBE
State: relaxed

Calculated values
**SG**: I4/m (87)
**ΔH_f (0 K)**: 0.381 eV per atom

Cell lengths 10.409, 8.618, 8.618 Å; angles 68.61, 52.85, 52.85 degrees
Site moments in Bohr magnetons follow the coordinates.
Element x y z (fractional)
1 Tb 0.250 0.500 0.500  0.00
2 Tb 0.547 0.326 0.901  0.00
3 Tb 0.127 0.099 0.326  0.00
4 Tb 0.552 0.901 0.674  0.00
5 Tb 0.774 0.674 0.099  0.00
6 Tb 0.453 0.674 0.099  0.00
7 Tb 0.750 0.500 0.500  0.00
8 Tb 0.226 0.326 0.901  0.00
9 Tb 0.448 0.099 0.326  0.00
10 Tb 0.873 0.901 0.674  0.00
11 Er 0.334 0.734 0.597  0.08
12 Er 0.932 0.403 0.734  0.08
13 Er 0.068 0.597 0.266  0.08
14 Er 0.666 0.266 0.403  0.08
15 Th 0.000 0.000 0.000  0.35

---

Record 17
Material: Tb2ErTh5
Method: DFT, PBE
State: relaxed

Calculated values
**SG**: Pbam (55)
**ΔH_f (0 K)**: 0.056 eV per atom
**Relative energy among the computed polymorphs**: 0.000 eV per atom

Cell lengths 5.027, 7.134, 14.305 Å; angles 90.00, 90.00, 90.00 degrees
Element x y z (fractional)
1 Tb 0.500 0.248 0.625
2 Tb 0.500 0.752 0.375
3 Tb 0.500 0.252 0.125
4 Tb 0.500 0.748 0.875
5 Er 0.000 0.000 0.500
6 Er 0.000 0.500 0.000
7 Th 0.000 0.000 0.000
8 Th 0.000 0.500 0.500
9 Th 0.000 0.498 0.750
10 Th 0.000 0.502 0.250
11 Th 0.000 0.002 0.250
12 Th 0.000 0.998 0.750
13 Th 0.500 0.245 0.873
14 Th 0.500 0.755 0.127
15 Th 0.500 0.255 0.373
16 Th 0.500 0.745 0.627

---

Record 18
Material: Tb8Er3Th4
Method: DFT, PBE
State: relaxed

Calculated values
**SG**: C2/m (12)
**ΔH_f (0 K)**: 0.426 eV per atom

Cell lengths 6.724, 9.249, 9.249 Å; angles 88.09, 111.12, 111.12 degrees
Element x y z (fractional)
1 Tb 0.511 0.259 0.259
2 Tb 0.000 0.644 0.356
3 Tb 0.998 0.264 0.264
4 Tb 0.500 0.745 0.255
5 Tb 0.500 0.255 0.745
6 Tb 0.002 0.736 0.736
7 Tb 0.000 0.356 0.644
8 Tb 0.489 0.741 0.741
9 Er 0.500 0.500 0.000
10 Er 0.500 0.000 0.500
11 Er 0.500 0.500 0.500
12 Th 0.500 0.000 0.000
13 Th 0.000 0.500 0.000
14 Th 0.000 0.000 0.000
15 Th 0.000 0.000 0.500

---

Record 19
Material: TbEr2Th3
Method: DFT, PBE
State: relaxed

Calculated values
**SG**: P2_1/m (11)
**ΔH_f (0 K)**: 0.030 eV per atom
**Relative energy among the computed polymorphs**: 0.000 eV per atom

Cell lengths 3.562, 10.032, 10.646 Å; angles 89.42, 90.00, 90.00 degrees
Element x y z (fractional)
1 Tb 0.250 0.877 0.747
2 Tb 0.750 0.123 0.253
3 Er 0.250 0.375 0.417
4 Er 0.750 0.625 0.583
5 Er 0.750 0.131 0.914
6 Er 0.250 0.869 0.086
7 Th 0.750 0.126 0.583
8 Th 0.250 0.874 0.417
9 Th 0.750 0.626 0.249
10 Th 0.250 0.374 0.751
11 Th 0.250 0.378 0.082
12 Th 0.750 0.622 0.918

---

Record 20
Material: TbEr5Th2
Method: DFT, PBE
State: relaxed

Calculated values
**SG**: C2/c (15)
**ΔH_f (0 K)**: 0.310 eV per atom
**Relative energy among the computed polymorphs**: 0.212 eV per atom

Cell lengths 16.000, 16.000, 10.353 Å; angles 60.79, 60.79, 119.86 degrees
Element x y z (fractional)
1 Tb 0.767 0.233 0.250
2 Tb 0.233 0.767 0.750
3 Er 0.651 0.349 0.750
4 Er 0.349 0.651 0.250
5 Er 0.291 0.571 0.030
6 Er 0.926 0.040 0.028
7 Er 0.571 0.291 0.530
8 Er 0.960 0.074 0.472
9 Er 0.040 0.926 0.528
10 Er 0.074 0.960 0.972
11 Er 0.429 0.709 0.470
12 Er 0.709 0.429 0.970
13 Th 0.500 0.000 0.000
14 Th 0.500 0.500 0.000
15 Th 0.500 0.500 0.500
16 Th 0.000 0.500 0.500